1.
# Ca2GdMg

A relaxed structure of Ca2GdMg (PBE, Alexandria).

Its size of the total moment is 23.55 μB/cell. The relative energy among the computed polymorphs comes out at 0.66 eV/f.u. Its electronic total energy is -56.632 eV for the cell shown. The formation energy comes out at 0.20 eV per atom.

The space group is R-3m (No. 166, hexagonal axes) and the conventional cell measures 3.5700, 3.5700 and 37.5933 Å, with angles of 90.00, 90.00 and 120.00 degrees. The inequivalent atoms are Ca at (0.0000, 0.0000, 0.0915), Gd at (0.0000, 0.0000, 0.0000) and Mg at (0.0000, 0.0000, 0.5000).



2.
# ScCo2ReC

A relaxed structure of ScCo2ReC (PBE, Alexandria).

Its size of the total moment is 1.29 μB/cell. Its electronic total energy is -42.891 eV for the cell shown. The formation energy comes out at -0.14 eV per atom.

The space group is P4/mmm (No. 123) and the conventional cell measures 3.889, 3.889 and 4.083 Å, with angles of 90.00, 90.00 and 90.00 degrees. The inequivalent atoms are Sc at (0.000, 0.000, 0.000), Co at (0.000, 0.500, 0.500), Re at (0.500, 0.500, 0.000) and C at (0.500, 0.500, 0.500).



size of the total moment of number 2 (ScCo2ReC)? 1.29 μB/cell